First-principles (PBE-GGA) data for an optimized crystal structure of VCoGe2, as listed in Alexandria.

Cell lengths 4.260, 4.260, 2.922 Å; angles 90.00, 90.00, 90.00 degrees
Space group P4/mmm (No. 123)
Asymmetric unit:
V  0.000  0.000  0.000 (multiplicity 1)
Co  0.500  0.500  0.000 (multiplicity 1)
Ge  0.000  0.500  0.500 (multiplicity 2)

Calculated values
* DOS at the Fermi energy: 2.84 states/eV per cell
* VASP energy: -6.4322 eV/atom
* volume: 53.04 Å³/f.u.
* spin magnetization: 0.000 μB per cell